i) The following is a DFT calculation (GGA-PBE) of crystalline TcP4 at its relaxed geometry.

a b c (Å): 4.6508 4.6763 7.3898
angles (deg): 90.00 98.54 90.00
Last column: nearest neighbours and their distance in Å.
Element x y z (fractional)
Tc 0.0000 0.0000 0.0000  6 P 2.41-2.42
Tc 0.0000 0.5000 0.5000  6 P 2.41-2.42
P 0.2103 0.1949 0.7474  2 P 2.22-2.23, 2 Tc 2.41
P 0.2103 0.3051 0.2474  2 P 2.22-2.23, 2 Tc 2.41
P 0.3797 0.6511 0.0861  3 P 2.22-2.30, 1 Tc 2.42
P 0.3797 0.8489 0.5861  3 P 2.22-2.30, 1 Tc 2.42
P 0.6203 0.1511 0.4139  3 P 2.22-2.30, 1 Tc 2.42
P 0.6203 0.3489 0.9139  3 P 2.22-2.30, 1 Tc 2.42
P 0.7897 0.6949 0.7526  2 P 2.22-2.23, 2 Tc 2.41
P 0.7897 0.8051 0.2526  2 P 2.22-2.23, 2 Tc 2.41

Space-group type = P2_1/c
Size of the total moment = 0.61 μB per cell

=====

ii) The following is a DFT calculation (GGA-PBE) of crystalline TcP4 at its relaxed geometry.

a b c (Å): 4.5988 4.5988 4.5988
angles (deg): 103.21 103.21 122.89
Last column: nearest neighbours and their distance in Å.
Element x y z (fractional)
Tc 0.0000 0.0000 0.0000  12 P 2.57-2.75
P 0.2367 0.3824 0.6191  2 P 2.33, 1 Tc 2.57
P 0.3824 0.7633 0.1457  2 P 2.33, 1 Tc 2.57
P 0.6176 0.2367 0.8543  2 P 2.33, 1 Tc 2.57
P 0.7633 0.6176 0.3809  2 P 2.33, 1 Tc 2.57

Space-group type = I4/m
Size of the total moment = 0.00 μB per cell

=====

The computed energies, referenced to the most stable structure and given in meV/atom, are i) 0; ii) 617.